Record 1
VASP calculation (GGA-PBE) on Hg9P4O16 after structural relaxation.

## Properties
Uncorrected energy in eV/cell: -836.18

a = 16.4381 Å, b = 16.4381 Å, c = 10.7705 Å
α = 90.00°, β = 90.00°, γ = 120.00°
Space group R3c (No. 161, hexagonal axes)
Inequivalent atoms, fractional coordinates:
1 Hg 0.0445 0.2070 0.0000
2 Hg 0.0524 0.4813 0.4378
3 Hg 0.1685 0.0596 0.7956
4 P 0.0000 0.0000 0.0885
5 P 0.0955 0.4052 0.1648
6 O 0.0000 0.0000 0.4472
7 O 0.0140 0.0946 0.1460
8 O 0.0240 0.3003 0.1389
9 O 0.0433 0.4523 0.2275
10 O 0.1375 0.4605 0.0433
11 O 0.1740 0.4110 0.2540

Record 2
VASP calculation (GGA-PBE) on Hg3PO4 after structural relaxation.

## Properties
Uncorrected energy in eV/cell: -141.11

a = 8.565 Å, b = 5.023 Å, c = 14.356 Å
α = 90.00°, β = 122.02°, γ = 90.00°
Space group P2_1/c (No. 14)
Inequivalent atoms, fractional coordinates:
1 Hg 0.051 0.137 0.088
2 Hg 0.268 0.153 0.454
3 Hg 0.433 0.661 0.122
4 P 0.238 0.632 0.275
5 O 0.070 0.528 0.166
6 O 0.229 0.546 0.376
7 O 0.238 0.558 0.771
8 O 0.420 0.528 0.285

> Which formula does entry 2 have?

Hg3PO4